# ReTcMoW PBE relaxed
# Theoretical density   15.16 g/cm3
# Volume   15.4 Å³/atom
# E_tot   -11.57 eV per atom
# D(E_F)   4.34 states/eV/f.u.
data_ReTcMoW
_space_group_name_H-M_alt 'P 1'
_space_group_IT_number 1
_space_group_name_Hall 'P 1'
_cell_length_a 4.437
_cell_length_b 4.437
_cell_length_c 4.437
_cell_angle_alpha 60.00
_cell_angle_beta 60.00
_cell_angle_gamma 60.00
loop_
_atom_site_label
_atom_site_type_symbol
_atom_site_fract_x
_atom_site_fract_y
_atom_site_fract_z
_atom_site_occupancy
Re1 Re 0.000 0.000 0.000 1
Tc1 Tc 0.500 0.500 0.500 1
Mo1 Mo 0.750 0.750 0.750 1
W1 W 0.250 0.250 0.250 1

# ZnReTcMo PBE relaxed
# Theoretical density   12.45 g/cm3
# Volume   14.9 Å³/atom
# E_tot   -8.55 eV per atom
# D(E_F)   3.26 states/eV/f.u.
data_ZnReTcMo
_space_group_name_H-M_alt 'P 1'
_space_group_IT_number 1
_space_group_name_Hall 'P 1'
_cell_length_a 4.381
_cell_length_b 4.381
_cell_length_c 4.381
_cell_angle_alpha 60.00
_cell_angle_beta 60.00
_cell_angle_gamma 60.00
loop_
_atom_site_label
_atom_site_type_symbol
_atom_site_fract_x
_atom_site_fract_y
_atom_site_fract_z
_atom_site_occupancy
Zn1 Zn 0.000 0.000 0.000 1
Re1 Re 0.250 0.250 0.250 1
Tc1 Tc 0.750 0.750 0.750 1
Mo1 Mo 0.500 0.500 0.500 1

# Zn2ReTcMo PBE relaxed
# Theoretical density   8.39 g/cm3
# Volume   20.2 Å³/atom
# E_tot   -5.49 eV per atom
# D(E_F)   3.95 states/eV/f.u.
data_Zn2ReTcMo
_space_group_name_H-M_alt 'P 1'
_space_group_IT_number 1
_space_group_name_Hall 'P 1'
_cell_length_a 4.675
_cell_length_b 4.675
_cell_length_c 4.624
_cell_angle_alpha 90.00
_cell_angle_beta 90.00
_cell_angle_gamma 90.00
loop_
_atom_site_label
_atom_site_type_symbol
_atom_site_fract_x
_atom_site_fract_y
_atom_site_fract_z
_atom_site_occupancy
Zn1 Zn 0.000 0.500 0.000 1
Zn2 Zn 0.500 0.000 0.000 1
Re1 Re 0.000 0.000 0.500 1
Tc1 Tc 0.500 0.500 0.000 1
Mo1 Mo 0.500 0.500 0.500 1

# ZrReTcMo PBE relaxed
# Theoretical density   11.86 g/cm3
# Volume   16.5 Å³/atom
# E_tot   -10.71 eV per atom
# D(E_F)   1.84 states/eV/f.u.
data_ZrReTcMo
_space_group_name_H-M_alt 'P 1'
_space_group_IT_number 1
_space_group_name_Hall 'P 1'
_cell_length_a 4.535
_cell_length_b 4.535
_cell_length_c 4.535
_cell_angle_alpha 60.00
_cell_angle_beta 60.00
_cell_angle_gamma 60.00
loop_
_atom_site_label
_atom_site_type_symbol
_atom_site_fract_x
_atom_site_fract_y
_atom_site_fract_z
_atom_site_occupancy
Zr1 Zr 0.000 0.000 0.000 1
Re1 Re 0.750 0.750 0.750 1
Tc1 Tc 0.250 0.250 0.250 1
Mo1 Mo 0.500 0.500 0.500 1

Which of these has the highest D(E_F)? ReTcMoW

Which of these has the lowest volume? ZnReTcMo